First-principles (PBE) data for crystalline Zr2ZnInHg at its relaxed geometry, as listed in Alexandria.

The formation enthalpy at 0 K comes out at -13.44 kJ per mole of atoms. Its symmetry is P2_1/m. The calculation puts the density of states at the Fermi level at 6.9 states/eV/cell.

Lattice parameters (Å, degrees): 4.140 7.617 7.140 110.20 90.00 90.00
Fractional coordinates of all 10 atoms:
Zn (0.750, 0.083, 0.068)
Zr (0.250, 0.307, 0.972)
Zn (0.250, 0.917, 0.932)
In (0.250, 0.699, 0.323)
Zr (0.750, 0.693, 0.028)
Hg (0.250, 0.569, 0.677)
Zr (0.250, 0.097, 0.364)
In (0.750, 0.301, 0.677)
Zr (0.750, 0.903, 0.636)
Hg (0.750, 0.431, 0.323)

***

First-principles (PBE) data for crystalline ZrZnInHg at its relaxed geometry, as listed in Alexandria.

The formation enthalpy at 0 K comes out at -20.83 kJ per mole of atoms. Its symmetry is Pmmm. The calculation puts the density of states at the Fermi level at 1.6 states/eV/cell.

Lattice parameters (Å, degrees): 4.335 4.371 4.283 90.00 90.00 90.00
Fractional coordinates of all 4 atoms:
Hg (0.500, 0.000, 0.500)
Zr (0.000, 0.500, 0.500)
In (0.500, 0.500, 0.000)
Zn (0.000, 0.000, 0.000)